1.
LaTmZn2Ga2 | GGA-PBE | optimized geometry

Cell: 4.4534 4.4534 7.5002 Å, 90.00 90.00 120.00°
Closest atoms and distances in Å follow each position.
Atoms (fractional coordinates):
La (0.0000, 0.0000, 0.0000)  6 Ga 3.30, 6 Zn 3.37
Tm (0.0000, 0.0000, 0.5000)  6 Zn 3.01, 6 Ga 3.07
Zn (0.6667, 0.3333, 0.7098)  3 Ga 2.57
Zn (0.3333, 0.6667, 0.2902)  3 Ga 2.57
Ga (0.6667, 0.3333, 0.2759)  3 Zn 2.57
Ga (0.3333, 0.6667, 0.7241)  3 Zn 2.57

Output
Total moment, Bohr magnetons per cell: 0.0

***

2.
LaTm2Zn2Ga2 | GGA-PBE | optimized geometry

Cell: 4.4818 4.4818 9.6420 Å, 76.56 76.56 60.00°
Closest atoms and distances in Å follow each position.
Atoms (fractional coordinates):
La (0.0000, 0.0000, 0.0000)  6 Zn 3.32, 6 Ga 3.40, 2 Tm 3.60
Tm (0.1294, 0.1294, 0.6119)  3 Ga 2.94, 3 Zn 3.00
Tm (0.8706, 0.8706, 0.3881)  3 Ga 2.94, 3 Zn 3.00
Zn (0.5919, 0.5919, 0.2243)  3 Ga 2.59
Zn (0.4081, 0.4081, 0.7757)  3 Ga 2.59
Ga (0.7461, 0.7461, 0.7618)  3 Zn 2.59
Ga (0.2539, 0.2539, 0.2382)  3 Zn 2.59

Output
Total moment, Bohr magnetons per cell: 0.0

***

3.
LaUGa | GGA-PBE | optimized geometry

Cell: 5.0914 3.7920 11.1555 Å, 81.19 76.81 47.83°
Closest atoms and distances in Å follow each position.
Atoms (fractional coordinates):
Ga (0.7500, 0.5000, 0.5000)  4 Ga 2.55-2.81
Ga (0.2500, 0.5000, 0.5000)  4 Ga 2.55-2.81
U (0.7684, 0.4632, 0.0000)  3 U 2.55-2.60
U (0.2316, 0.5368, 0.0000)  3 U 2.55-2.60
La (0.6222, 0.0000, 0.7556)  2 U 3.05, 4 Ga 3.36
La (0.3778, 0.0000, 0.2444)  2 U 3.05, 4 Ga 3.36

Output
Total moment, Bohr magnetons per cell: 1.4

***

4.
LaVGa3 | GGA-PBE | optimized geometry

Cell: 4.7907 4.7907 4.7907 Å, 90.00 90.00 90.00°
Closest atoms and distances in Å follow each position.
Atoms (fractional coordinates):
V (0.0000, 0.0000, 0.0000)  6 Ga 2.40
Ga (0.0000, 0.5000, 0.0000)  2 V 2.40
Ga (0.0000, 0.0000, 0.5000)  2 V 2.40
Ga (0.5000, 0.0000, 0.0000)  2 V 2.40
La (0.5000, 0.5000, 0.5000)  12 Ga 3.39

Output
Total moment, Bohr magnetons per cell: 0.0
Energy above the lowest structure with this stoichiometry, eV/atom: 0.000

***

5.
LaVGa2 | GGA-PBE | optimized geometry

Cell: 4.9274 4.9274 4.9274 Å, 60.00 60.00 60.00°
Closest atoms and distances in Å follow each position.
Atoms (fractional coordinates):
La (0.5000, 0.5000, 0.5000)  8 Ga 3.02
Ga (0.2500, 0.2500, 0.2500)  4 La 3.02, 4 V 3.02
Ga (0.7500, 0.7500, 0.7500)  4 La 3.02, 4 V 3.02
V (0.0000, 0.0000, 0.0000)  8 Ga 3.02

Output
Total moment, Bohr magnetons per cell: 3.2
Energy above the lowest structure with this stoichiometry, eV/atom: 0.077

***

6.
LaV2Ga2 | GGA-PBE | optimized geometry

Cell: 3.9692 3.9692 6.7527 Å, 72.91 72.91 90.00°
Closest atoms and distances in Å follow each position.
Atoms (fractional coordinates):
La (0.0000, 0.0000, 0.0000)  8 Ga 3.13
Ga (0.3878, 0.3878, 0.2245)  4 V 2.61, 1 Ga 2.76
Ga (0.6122, 0.6122, 0.7755)  4 V 2.61, 1 Ga 2.76
V (0.7500, 0.2500, 0.5000)  4 Ga 2.61, 4 V 2.81
V (0.2500, 0.7500, 0.5000)  4 Ga 2.61, 4 V 2.81

Output
Total moment, Bohr magnetons per cell: 0.7
Energy above the lowest structure with this stoichiometry, eV/atom: 0.000

***

7.
La2V2Ga | GGA-PBE | optimized geometry

Cell: 5.8555 5.8555 5.5012 Å, 57.85 57.85 90.00°
Closest atoms and distances in Å follow each position.
Atoms (fractional coordinates):
La (0.7500, 0.2500, 0.5000)  4 V 3.05
La (0.2500, 0.7500, 0.5000)  4 V 3.05
Ga (0.0000, 0.0000, 0.0000)  2 V 2.68
V (0.3700, 0.3700, 0.2601)  1 V 1.88
V (0.6300, 0.6300, 0.7399)  1 V 1.88

Output
Total moment, Bohr magnetons per cell: 0.0
Energy above the lowest structure with this stoichiometry, eV/atom: 0.371

***

8.
La2V2Ga | GGA-PBE | optimized geometry

Cell: 6.9313 6.9313 4.7117 Å, 90.00 90.00 90.00°
Closest atoms and distances in Å follow each position.
Atoms (fractional coordinates):
La (0.1806, 0.6806, 0.5000)  6 V 3.06-3.18
La (0.6806, 0.8194, 0.5000)  6 V 3.06-3.18
La (0.8194, 0.3194, 0.5000)  6 V 3.06-3.18
La (0.3194, 0.1806, 0.5000)  6 V 3.06-3.18
Ga (0.0000, 0.0000, 0.0000)  4 V 2.76
Ga (0.5000, 0.5000, 0.0000)  4 V 2.76
V (0.3790, 0.8790, 0.0000)  1 V 2.37
V (0.8790, 0.6210, 0.0000)  1 V 2.37
V (0.6210, 0.1210, 0.0000)  1 V 2.37
V (0.1210, 0.3790, 0.0000)  1 V 2.37

Output
Total moment, Bohr magnetons per cell: 4.3
Energy above the lowest structure with this stoichiometry, eV/atom: 0.000

***

9.
LaV2Ga2 | GGA-PBE | optimized geometry

Cell: 7.8106 7.8106 2.9687 Å, 90.00 90.00 90.00°
Closest atoms and distances in Å follow each position.
Atoms (fractional coordinates):
La (0.0000, 0.0000, 0.0000)  2 La 2.97, 4 Ga 3.10, 8 V 3.26
La (0.5000, 0.5000, 0.0000)  2 La 2.97, 4 Ga 3.10, 8 V 3.26
Ga (0.3780, 0.8780, 0.0000)  3 Ga 2.69-2.97, 6 V 2.73-2.75
Ga (0.8780, 0.6220, 0.0000)  3 Ga 2.69-2.97, 6 V 2.73-2.75
Ga (0.6220, 0.1220, 0.0000)  3 Ga 2.69-2.97, 6 V 2.73-2.75
Ga (0.1220, 0.3780, 0.0000)  3 Ga 2.69-2.97, 6 V 2.73-2.75
V (0.1701, 0.6701, 0.5000)  6 Ga 2.73-2.75, 2 V 2.97
V (0.6701, 0.8299, 0.5000)  6 Ga 2.73-2.75, 2 V 2.97
V (0.8299, 0.3299, 0.5000)  6 Ga 2.73-2.75, 2 V 2.97
V (0.3299, 0.1701, 0.5000)  6 Ga 2.73-2.75, 2 V 2.97

Output
Total moment, Bohr magnetons per cell: 3.1
Energy above the lowest structure with this stoichiometry, eV/atom: 0.232

***

10.
LaVGa2 | GGA-PBE | optimized geometry

Cell: 4.4017 4.4017 5.9630 Å, 68.34 68.34 60.00°
Closest atoms and distances in Å follow each position.
Atoms (fractional coordinates):
V (0.0000, 0.0000, 0.0000)  6 Ga 2.64
Ga (0.2903, 0.2903, 0.1292)  3 V 2.64, 3 Ga 2.90
Ga (0.7097, 0.7097, 0.8708)  3 V 2.64, 3 Ga 2.90
La (0.5000, 0.5000, 0.5000)  8 Ga 3.23-3.39

Output
Total moment, Bohr magnetons per cell: 3.1
Energy above the lowest structure with this stoichiometry, eV/atom: 0.000

***

11.
LaV2Ga2 | GGA-PBE | optimized geometry

Cell: 7.9721 7.9721 2.8231 Å, 90.00 90.00 90.00°
Closest atoms and distances in Å follow each position.
Atoms (fractional coordinates):
La (0.0000, 0.0000, 0.0000)  2 La 2.82
La (0.5000, 0.5000, 0.0000)  2 La 2.82
Ga (0.1778, 0.6778, 0.5000)  6 V 2.74-2.80, 2 Ga 2.82
Ga (0.6778, 0.8222, 0.5000)  6 V 2.74-2.80, 2 Ga 2.82
Ga (0.8222, 0.3222, 0.5000)  6 V 2.74-2.80, 2 Ga 2.82
Ga (0.3222, 0.1778, 0.5000)  6 V 2.74-2.80, 2 Ga 2.82
V (0.3919, 0.8919, 0.0000)  1 V 2.44
V (0.8919, 0.6081, 0.0000)  1 V 2.44
V (0.6081, 0.1081, 0.0000)  1 V 2.44
V (0.1081, 0.3919, 0.0000)  1 V 2.44

Output
Total moment, Bohr magnetons per cell: 0.0
Energy above the lowest structure with this stoichiometry, eV/atom: 0.095

***

12.
LaVGa2 | GGA-PBE | optimized geometry

Cell: 4.7588 4.7588 9.5153 Å, 75.52 75.52 90.00°
Closest atoms and distances in Å follow each position.
Atoms (fractional coordinates):
La (0.0000, 0.0000, 0.0000)  4 Ga 3.19, 4 V 3.37
La (0.7500, 0.2500, 0.5000)  4 Ga 3.19, 4 V 3.37
Ga (0.4661, 0.1250, 0.2500)  2 Ga 2.53, 2 V 2.56
Ga (0.2839, 0.6250, 0.2500)  2 Ga 2.53, 2 V 2.56
Ga (0.3750, 0.5339, 0.7500)  2 Ga 2.53, 2 V 2.56
Ga (0.8750, 0.7161, 0.7500)  2 Ga 2.53, 2 V 2.56
V (0.5000, 0.5000, 0.0000)  4 Ga 2.56
V (0.2500, 0.7500, 0.5000)  4 Ga 2.56

Output
Total moment, Bohr magnetons per cell: 4.9
Energy above the lowest structure with this stoichiometry, eV/atom: 0.355

***

| no. | VASP energy (eV per atom) | formation enthalpy at 0 K (kJ/mol of atoms) |
| --- | --- | --- |
| 1 | -3.567 | -54.7 |
| 2 | -3.619 | -39.4 |
| 3 | -6.295 | 11.5 |
| 4 | -4.940 | -30.4 |
| 5 | -5.191 | -16.1 |
| 6 | -6.024 | -17.4 |
| 7 | -5.708 | 49.8 |
| 8 | -6.079 | 14.0 |
| 9 | -5.792 | 5.0 |
| 10 | -5.269 | -23.5 |
| 11 | -5.929 | -8.3 |
| 12 | -4.914 | 10.7 |